1.
Density functional theory data (GGA-PBE) for an optimized crystal structure of Ac6InSe12.

Structure (POSCAR):
```
Ac6InSe12
1.0
6.560 3.787 4.395
-6.560 3.787 4.395
0.000 -7.575 4.395
Ac In Se
6 1 12
Direct
0.143 0.831 0.643 Ac
0.169 0.357 0.857 Ac
0.357 0.857 0.169 Ac
0.643 0.143 0.831 Ac
0.831 0.643 0.143 Ac
0.857 0.169 0.357 Ac
0.500 0.500 0.500 In
0.069 0.915 0.319 Se
0.085 0.681 0.931 Se
0.145 0.469 0.509 Se
0.319 0.069 0.915 Se
0.469 0.509 0.145 Se
0.491 0.855 0.531 Se
0.509 0.145 0.469 Se
0.531 0.491 0.855 Se
0.681 0.931 0.085 Se
0.855 0.531 0.491 Se
0.915 0.319 0.069 Se
0.931 0.085 0.681 Se
```

The formation energy without anion corrections is -1575 meV per atom. Its symmetry is R-3. The value obtained for the final energy is -5.22 eV/atom.


2.
Density functional theory data (GGA-PBE) for an optimized crystal structure of TaFe2Re.

Structure (POSCAR):
```
TaFe2Re
1.0
-1.884 1.884 3.913
1.884 -1.884 3.913
1.884 1.884 -3.913
Ta Fe Re
1 2 1
Direct
0.000 0.000 0.000 Ta
0.250 0.750 0.500 Fe
0.500 0.500 0.000 Fe
0.750 0.250 0.500 Re
```

Its symmetry is I-4m2. As for the formation energy: 86 meV/atom. The value obtained for the final energy is -10.22 eV/atom.


3.
Density functional theory data (GGA-PBE) for an optimized crystal structure of NbCoH2Pb.

Structure (POSCAR):
```
NbCoH2Pb
1.0
3.682 0.000 0.000
0.000 3.682 0.000
0.000 0.000 5.690
Nb Co H Pb
1 1 2 1
Direct
0.000 0.000 0.000 Nb
0.500 0.500 0.500 Co
0.000 0.500 0.000 H
0.500 0.000 0.000 H
0.000 0.000 0.500 Pb
```

Its symmetry is P4/mmm. The value obtained for the final energy is -4.75 eV/atom.


4.
Density functional theory data (GGA-PBE) for an optimized crystal structure of Rb4Hg5Pd.

Structure (POSCAR):
```
Rb4Hg5Pd
1.0
-5.825 5.825 2.823
5.825 -5.825 2.823
5.825 5.825 -2.823
Rb Hg Pd
4 5 1
Direct
0.000 0.286 0.286 Rb
0.000 0.714 0.714 Rb
0.286 0.000 0.286 Rb
0.714 0.000 0.714 Rb
0.317 0.317 0.663 Hg
0.317 0.654 0.000 Hg
0.654 0.317 0.000 Hg
0.654 0.654 0.337 Hg
0.820 0.820 0.000 Hg
0.319 0.319 0.000 Pd
```

Its symmetry is I4mm. As for the formation energy: -206 meV/atom. The value obtained for the final energy is -1.26 eV/atom.


5.
Density functional theory data (GGA-PBE) for an optimized crystal structure of BaHg7Pd5.

Structure (POSCAR):
```
BaHg7Pd5
1.0
-2.898 4.908 4.862
2.898 -4.908 4.862
2.898 4.908 -4.862
Ba Hg Pd
1 7 5
Direct
0.000 0.000 0.000 Ba
0.200 0.499 0.702 Hg
0.240 0.740 0.500 Hg
0.348 0.348 0.000 Hg
0.363 0.019 0.344 Hg
0.665 0.665 0.000 Hg
0.676 0.019 0.656 Hg
0.797 0.499 0.298 Hg
0.008 0.002 0.498 Pd
0.008 0.510 0.005 Pd
0.504 0.002 0.995 Pd
0.504 0.510 0.502 Pd
0.775 0.275 0.500 Pd
```

Its symmetry is Imm2. As for the formation energy: -283 meV/atom. The value obtained for the final energy is -2.59 eV/atom.


6.
Density functional theory data (GGA-PBE) for an optimized crystal structure of PrSm2In6.

Structure (POSCAR):
```
PrSm2In6
1.0
-2.335 3.842 7.374
2.335 -3.842 7.374
2.335 3.842 -7.374
Pr Sm In
1 2 6
Direct
0.000 0.000 0.000 Pr
0.378 0.878 0.500 Sm
0.622 0.122 0.500 Sm
0.006 0.311 0.695 In
0.308 0.500 0.808 In
0.384 0.689 0.695 In
0.616 0.311 0.305 In
0.692 0.500 0.192 In
0.994 0.689 0.305 In
```

Its symmetry is Immm. As for the relative energy among the computed polymorphs: 123.7 meV/atom. As for the formation energy: -334 meV/atom. The value obtained for the final energy is -3.74 eV/atom.


7.
Density functional theory data (GGA-PBE) for an optimized crystal structure of KSmGe2I8.

Structure (POSCAR):
```
KSmGe2I8
1.0
7.273 0.000 0.000
0.510 7.738 0.000
0.616 0.697 9.582
K Sm Ge I
1 1 2 8
Direct
0.000 0.000 0.000 K
0.000 0.000 0.500 Sm
0.460 0.467 0.242 Ge
0.540 0.533 0.758 Ge
0.237 0.327 0.475 I
0.255 0.829 0.273 I
0.259 0.840 0.725 I
0.275 0.366 0.028 I
0.725 0.634 0.972 I
0.741 0.160 0.275 I
0.745 0.171 0.727 I
0.763 0.673 0.525 I
```

The formation energy without anion corrections is -813 meV per atom. Its symmetry is P-1. The value obtained for the final energy is -3.10 eV/atom.


8.
Density functional theory data (GGA-PBE) for an optimized crystal structure of LiAlTlHg.

Structure (POSCAR):
```
LiAlTlHg
1.0
0.000 3.491 3.491
3.491 0.000 3.491
3.491 3.491 0.000
Li Al Tl Hg
1 1 1 1
Direct
0.000 0.000 0.000 Li
0.500 0.500 0.500 Al
0.750 0.750 0.750 Tl
0.250 0.250 0.250 Hg
```

Its symmetry is F-43m. As for the formation energy: -51 meV/atom. The value obtained for the final energy is -2.13 eV/atom.


9.
Density functional theory data (GGA-PBE) for an optimized crystal structure of HfTiZnC.

Structure (POSCAR):
```
HfTiZnC
1.0
2.751 -1.588 0.000
2.751 1.588 0.000
-1.853 0.000 6.919
Hf Ti Zn C
1 1 1 1
Direct
0.000 0.000 0.000 Hf
0.451 0.451 0.348 Ti
0.222 0.222 0.665 Zn
0.730 0.730 0.189 C
```

Its symmetry is Cm. As for the formation energy: -549 meV/atom. The value obtained for the final energy is -7.64 eV/atom.


10.
Density functional theory data (GGA-PBE) for an optimized crystal structure of NbS2BrO8.

Structure (POSCAR):
```
NbS2BrO8
1.0
5.333 0.000 0.000
-2.667 4.619 0.000
0.000 0.000 8.466
Nb S Br O
1 2 1 8
Direct
0.000 0.000 0.000 Nb
0.333 0.667 0.796 S
0.667 0.333 0.204 S
0.000 0.000 0.500 Br
0.183 0.366 0.867 O
0.183 0.817 0.867 O
0.333 0.667 0.629 O
0.366 0.183 0.133 O
0.634 0.817 0.867 O
0.667 0.333 0.371 O
0.817 0.183 0.133 O
0.817 0.634 0.133 O
```

The formation energy without anion corrections is -1285 meV per atom. Its symmetry is P-3m1. The value obtained for the final energy is -6.26 eV/atom.


11.
Density functional theory data (GGA-PBE) for an optimized crystal structure of K3LaCd.

Structure (POSCAR):
```
K3LaCd
1.0
7.341 0.000 0.000
0.000 7.341 0.000
0.000 0.000 7.341
K La Cd
3 1 1
Direct
0.000 0.000 0.500 K
0.000 0.500 0.000 K
0.500 0.000 0.000 K
0.000 0.000 0.000 La
0.500 0.500 0.500 Cd
```

Its symmetry is Pm-3m. As for the formation energy: 866 meV/atom. The value obtained for the final energy is -0.96 eV/atom.


12.
Density functional theory data (GGA-PBE) for an optimized crystal structure of TbEr5Tl6.

Structure (POSCAR):
```
TbEr5Tl6
1.0
4.606 -8.031 0.000
4.606 8.031 0.000
-3.084 0.000 4.361
Tb Er Tl
1 5 6
Direct
0.000 0.000 0.000 Tb
0.166 0.834 0.500 Er
0.333 0.667 0.000 Er
0.500 0.500 0.500 Er
0.667 0.333 0.000 Er
0.834 0.166 0.500 Er
0.084 0.419 0.251 Tl
0.253 0.253 0.753 Tl
0.419 0.084 0.251 Tl
0.581 0.916 0.749 Tl
0.747 0.747 0.247 Tl
0.916 0.581 0.749 Tl
```

Its symmetry is C2/m. As for the relative energy among the computed polymorphs: 0.0 meV/atom. As for the formation energy: -317 meV/atom. The value obtained for the final energy is -3.79 eV/atom.


- Which of these has the highest final energy?
  K3LaCd


- Which of these has the lowest final energy?
  TaFe2Re


- Which formula does entry 12 have?
  TbEr5Tl6